Computed, not measured: a geometry-optimized CdCo5 structure at the GGA-PBE level of DFT.

The structure belongs to space group P6/mmm (No. 191); the cell edges are 4.7678, 4.7678 and 4.0568 Å and the angles 90.00°, 90.00° and 120.00°. The inequivalent atoms are Cd at (0.0000, 0.0000, 0.0000), Co at (0.0000, 0.5000, 0.5000) and Co at (0.3333, 0.6667, 0.0000).

The density comes out at 8.46 g/cm3. As for the energy of formation: 260 meV per atom.